Record 1
# ScSb3Pb | Alexandria via LeMat-Bulk | PBE-GGA | relaxed
# Formation energy without anion corrections in eV per formula unit: 0.56
# Energy relative to the lowest polymorph listed for this composition in eV/f.u.: 0.00
data_ScSb3Pb
_cell_length_a 5.492
_cell_length_b 5.492
_cell_length_c 5.492
_cell_angle_alpha 90.00
_cell_angle_beta 90.00
_cell_angle_gamma 90.00
_space_group_name_H-M_alt 'P m -3 m'
_space_group_IT_number 221
_space_group_name_Hall '-P 4 2 3'
loop_
_atom_site_label
_atom_site_type_symbol
_atom_site_fract_x
_atom_site_fract_y
_atom_site_fract_z
_atom_site_occupancy
Sc1 Sc 0.000 0.000 0.000 1
Sb1 Sb 0.000 0.000 0.500 1
Pb1 Pb 0.500 0.500 0.500 1

Record 2
# Sr8CaMg2 | Alexandria via LeMat-Bulk | PBE-GGA | relaxed
# Energy relative to the elements in eV per formula unit: 0.1
data_Sr8CaMg2
_cell_length_a 19.492
_cell_length_b 6.108
_cell_length_c 9.444
_cell_angle_alpha 90.00
_cell_angle_beta 113.10
_cell_angle_gamma 90.00
_space_group_name_H-M_alt 'C 1 2/m 1'
_space_group_IT_number 12
_space_group_name_Hall '-C 2y'
loop_
_atom_site_label
_atom_site_type_symbol
_atom_site_fract_x
_atom_site_fract_y
_atom_site_fract_z
_atom_site_occupancy
Sr1 Sr 0.049 0.000 0.237 1
Sr2 Sr 0.112 0.500 0.972 1
Sr3 Sr 0.157 0.000 0.731 1
Sr4 Sr 0.184 0.500 0.436 1
Ca1 Ca 0.000 0.500 0.500 1
Mg1 Mg 0.219 0.000 0.158 1

Record 3
# LiP2Pd | Alexandria via LeMat-Bulk | PBE-GGA | relaxed
# Energy relative to the lowest polymorph listed for this composition in eV/f.u.: 0.00
# Energy relative to the elements in eV per formula unit: -0.7
data_LiP2Pd
_cell_length_a 7.264
_cell_length_b 7.264
_cell_length_c 4.798
_cell_angle_alpha 90.00
_cell_angle_beta 90.00
_cell_angle_gamma 90.00
_space_group_name_H-M_alt 'I -4 2 d'
_space_group_IT_number 122
_space_group_name_Hall 'I -4 2bw'
loop_
_atom_site_label
_atom_site_type_symbol
_atom_site_fract_x
_atom_site_fract_y
_atom_site_fract_z
_atom_site_occupancy
Li1 Li 0.000 0.000 0.000 1
P1 P 0.206 0.250 0.625 1
Pd1 Pd 0.000 0.000 0.500 1

Record 4
# Cu2SiMo | Alexandria via LeMat-Bulk | PBE-GGA | relaxed
# Formation energy without anion corrections in eV per formula unit: 0.11
data_Cu2SiMo
_cell_length_a 9.172
_cell_length_b 2.661
_cell_length_c 4.709
_cell_angle_alpha 90.00
_cell_angle_beta 111.57
_cell_angle_gamma 90.00
_space_group_name_H-M_alt 'C 1 m 1'
_space_group_IT_number 8
_space_group_name_Hall 'C -2y'
loop_
_atom_site_label
_atom_site_type_symbol
_atom_site_fract_x
_atom_site_fract_y
_atom_site_fract_z
_atom_site_occupancy
Cu1 Cu 0.000 0.000 0.000 1
Cu2 Cu 0.246 0.000 0.872 1
Si1 Si 0.028 0.500 0.499 1
Mo1 Mo 0.274 0.500 0.388 1

Record 5
# Er3ZnSe6 | Alexandria via LeMat-Bulk | PBE-GGA | relaxed
# Formation energy without anion corrections in eV per formula unit: -14.44
data_Er3ZnSe6
_cell_length_a 11.202
_cell_length_b 14.003
_cell_length_c 6.571
_cell_angle_alpha 90.00
_cell_angle_beta 90.00
_cell_angle_gamma 90.00
_space_group_name_H-M_alt 'C m c 21'
_space_group_IT_number 36
_space_group_name_Hall 'C 2c -2'
loop_
_atom_site_label
_atom_site_type_symbol
_atom_site_fract_x
_atom_site_fract_y
_atom_site_fract_z
_atom_site_occupancy
Er1 Er 0.000 0.110 0.000 1
Er2 Er 0.177 0.396 0.918 1
Zn1 Zn 0.000 0.299 0.369 1
Se1 Se 0.000 0.277 0.736 1
Se2 Se 0.000 0.464 0.222 1
Se3 Se 0.162 0.022 0.709 1
Se4 Se 0.175 0.233 0.188 1

Record 6
# CdSb2Cl | Alexandria via LeMat-Bulk | PBE-GGA | relaxed
# Formation energy without anion corrections in eV per formula unit: -0.22
# Energy relative to the lowest polymorph listed for this composition in eV/f.u.: 0.92
data_CdSb2Cl
_cell_length_a 9.038
_cell_length_b 5.230
_cell_length_c 5.232
_cell_angle_alpha 90.00
_cell_angle_beta 125.20
_cell_angle_gamma 90.00
_space_group_name_H-M_alt 'C 1 m 1'
_space_group_IT_number 8
_space_group_name_Hall 'C -2y'
loop_
_atom_site_label
_atom_site_type_symbol
_atom_site_fract_x
_atom_site_fract_y
_atom_site_fract_z
_atom_site_occupancy
Cd1 Cd 0.000 0.000 0.000 1
Sb1 Sb 0.000 0.500 0.502 1
Sb2 Sb 0.250 0.500 0.247 1
Cl1 Cl 0.250 0.000 0.749 1